1.
Entry from the Alexandria database: a geometry-optimized VFeF3 structure (PBE with a Hubbard U).

Properties
DOS at the Fermi energy: 10.7 states/eV/cell
Total DFT energy (no corrections): -5.1999 eV per atom
Relative energy among the computed polymorphs: 0.000 eV per atom

Cell lengths 4.158, 4.158, 4.158 Å; angles 90.00, 90.00, 90.00 degrees
Positions (direct):
V: 0.000 0.000 0.000
Fe: 0.500 0.500 0.500
F: 0.000 0.000 0.500
F: 0.000 0.500 0.000
F: 0.500 0.000 0.000

2.
Entry from the Alexandria database: a geometry-optimized V2FeF8 structure (PBE with a Hubbard U).

Properties
DOS at the Fermi energy: 0.0 states/eV/cell
Total DFT energy (no corrections): -5.9290 eV per atom

Cell lengths 5.279, 5.279, 5.221 Å; angles 100.62, 100.62, 75.41 degrees
Positions (direct):
V: 0.185 0.185 0.448
V: 0.815 0.815 0.552
Fe: 0.500 0.500 0.000
F: 0.054 0.054 0.734
F: 0.157 0.545 0.692
F: 0.330 0.330 0.202
F: 0.455 0.843 0.308
F: 0.545 0.157 0.692
F: 0.670 0.670 0.798
F: 0.843 0.455 0.308
F: 0.946 0.946 0.266

3.
Entry from the Alexandria database: a geometry-optimized VFeF2 structure (PBE with a Hubbard U).

Properties
DOS at the Fermi energy: 3.7 states/eV/cell
Total DFT energy (no corrections): -4.8468 eV per atom
Relative energy among the computed polymorphs: 0.657 eV per atom

Cell lengths 4.136, 4.136, 4.136 Å; angles 60.00, 60.00, 60.00 degrees
Positions (direct):
V: 0.000 0.000 0.000
Fe: 0.500 0.500 0.500
F: 0.250 0.250 0.250
F: 0.750 0.750 0.750

4.
Entry from the Alexandria database: a geometry-optimized V2FeF structure (PBE with a Hubbard U).

Properties
DOS at the Fermi energy: 3.2 states/eV/cell
Total DFT energy (no corrections): -4.4875 eV per atom
Relative energy among the computed polymorphs: 0.609 eV per atom

Cell lengths 4.423, 4.423, 4.423 Å; angles 60.00, 60.00, 60.00 degrees
Positions (direct):
V: 0.250 0.250 0.250
V: 0.750 0.750 0.750
Fe: 0.000 0.000 0.000
F: 0.500 0.500 0.500

5.
Entry from the Alexandria database: a geometry-optimized VFeF2 structure (PBE with a Hubbard U).

Properties
DOS at the Fermi energy: 2.2 states/eV/cell
Total DFT energy (no corrections): -5.3188 eV per atom
Relative energy among the computed polymorphs: 0.185 eV per atom

Cell lengths 6.757, 6.757, 6.757 Å; angles 28.74, 28.74, 28.74 degrees
Positions (direct):
V: 0.000 0.000 0.000
Fe: 0.500 0.500 0.500
F: 0.117 0.117 0.117
F: 0.883 0.883 0.883

6.
Entry from the Alexandria database: a geometry-optimized VFe3F structure (PBE with a Hubbard U).

Properties
DOS at the Fermi energy: 3.2 states/eV/cell
Total DFT energy (no corrections): -4.6484 eV per atom
Relative energy among the computed polymorphs: 0.000 eV per atom

Cell lengths 4.376, 4.376, 4.376 Å; angles 90.00, 90.00, 90.00 degrees
Positions (direct):
V: 0.000 0.000 0.000
Fe: 0.000 0.500 0.500
Fe: 0.500 0.000 0.500
Fe: 0.500 0.500 0.000
F: 0.500 0.500 0.500

7.
Entry from the Alexandria database: a geometry-optimized VFeF2 structure (PBE with a Hubbard U).

Properties
DOS at the Fermi energy: 1.5 states/eV/cell
Total DFT energy (no corrections): -5.5036 eV per atom
Relative energy among the computed polymorphs: 0.000 eV per atom

Cell lengths 7.928, 7.928, 7.928 Å; angles 23.36, 23.36, 23.36 degrees
Positions (direct):
V: 0.000 0.000 0.000
Fe: 0.500 0.500 0.500
F: 0.377 0.377 0.377
F: 0.623 0.623 0.623

8.
Entry from the Alexandria database: a geometry-optimized VFe3F structure (PBE with a Hubbard U).

Properties
DOS at the Fermi energy: 0.8 states/eV/cell
Total DFT energy (no corrections): -3.8754 eV per atom
Relative energy among the computed polymorphs: 0.773 eV per atom

Cell lengths 4.949, 4.949, 4.949 Å; angles 90.00, 90.00, 90.00 degrees
Positions (direct):
V: 0.000 0.000 0.000
Fe: 0.000 0.000 0.500
Fe: 0.000 0.500 0.000
Fe: 0.500 0.000 0.000
F: 0.500 0.500 0.500

9.
Entry from the Alexandria database: a geometry-optimized VFeF3 structure (PBE with a Hubbard U).

Properties
DOS at the Fermi energy: 11.3 states/eV/cell
Total DFT energy (no corrections): -4.9460 eV per atom
Relative energy among the computed polymorphs: 0.254 eV per atom

Cell lengths 4.114, 4.114, 4.114 Å; angles 90.00, 90.00, 90.00 degrees
Positions (direct):
V: 0.000 0.000 0.000
Fe: 0.500 0.500 0.500
F: 0.000 0.500 0.500
F: 0.500 0.000 0.500
F: 0.500 0.500 0.000

10.
Entry from the Alexandria database: a geometry-optimized V2FeF2 structure (PBE with a Hubbard U).

Properties
DOS at the Fermi energy: 4.4 states/eV/cell
Total DFT energy (no corrections): -5.1893 eV per atom

Cell lengths 7.395, 7.395, 3.090 Å; angles 90.00, 90.00, 90.00 degrees
Positions (direct):
V: 0.246 0.254 0.000
V: 0.254 0.754 0.000
V: 0.746 0.246 0.000
V: 0.754 0.746 0.000
Fe: 0.000 0.000 0.500
Fe: 0.500 0.500 0.500
F: 0.123 0.623 0.500
F: 0.377 0.123 0.500
F: 0.623 0.877 0.500
F: 0.877 0.377 0.500

11.
Entry from the Alexandria database: a geometry-optimized Fe2WF8 structure (PBE with a Hubbard U).

Properties
DOS at the Fermi energy: 0.0 states/eV/cell
Total DFT energy (no corrections): -5.5722 eV per atom

Cell lengths 4.362, 6.076, 6.077 Å; angles 72.18, 89.21, 89.29 degrees
Positions (direct):
Fe: 0.246 0.120 0.120
Fe: 0.754 0.880 0.880
W: 0.500 0.500 0.500
F: 0.250 0.912 0.911
F: 0.252 0.321 0.324
F: 0.260 0.795 0.394
F: 0.262 0.396 0.797
F: 0.738 0.604 0.203
F: 0.740 0.205 0.606
F: 0.748 0.679 0.676
F: 0.750 0.088 0.089

12.
Entry from the Alexandria database: a geometry-optimized FeW3F structure (PBE with a Hubbard U).

Properties
DOS at the Fermi energy: 2.8 states/eV/cell
Total DFT energy (no corrections): -3.9918 eV per atom
Relative energy among the computed polymorphs: 0.282 eV per atom

Cell lengths 4.859, 4.859, 4.859 Å; angles 90.00, 90.00, 90.00 degrees
Positions (direct):
Fe: 0.000 0.000 0.000
W: 0.000 0.000 0.500
W: 0.000 0.500 0.000
W: 0.500 0.000 0.000
F: 0.500 0.500 0.500

Q: Look up the DOS at the Fermi energy of the fifth one.
A: 2.2 states/eV/cell

Q: Look up the DOS at the Fermi energy of the ninth one.
A: 11.3 states/eV/cell

Please write out number 11 again, unchanged.
Entry from the Alexandria database: a geometry-optimized Fe2WF8 structure (PBE with a Hubbard U).

Properties
DOS at the Fermi energy: 0.0 states/eV/cell
Total DFT energy (no corrections): -5.5722 eV per atom

Cell lengths 4.362, 6.076, 6.077 Å; angles 72.18, 89.21, 89.29 degrees
Positions (direct):
Fe: 0.246 0.120 0.120
Fe: 0.754 0.880 0.880
W: 0.500 0.500 0.500
F: 0.250 0.912 0.911
F: 0.252 0.321 0.324
F: 0.260 0.795 0.394
F: 0.262 0.396 0.797
F: 0.738 0.604 0.203
F: 0.740 0.205 0.606
F: 0.748 0.679 0.676
F: 0.750 0.088 0.089